## Cd2AgAu2 (GGA-PBE)

Data for a relaxed structure of Cd2AgAu2.

Symmetry: I4/mmm
Total energy (eV/atom): -2.197
Calculated formation energy (eV/f.u.): 0.25
Mass density (Mg/m³): 11.22
Relative energy among the computed polymorphs (meV/atom): 190

Geometry as POSCAR:
```
Cd2AgAu2
1.0
-2.0031 2.0031 6.7031
2.0031 -2.0031 6.7031
2.0031 2.0031 -6.7031
Cd Ag Au
2 1 2
Direct
0.2500 0.7500 0.5000 Cd
0.7500 0.2500 0.5000 Cd
0.0000 0.0000 0.0000 Ag
0.4015 0.4015 0.0000 Au
0.5985 0.5985 0.0000 Au
```

## Sr3Cd4Hg2 (GGA-PBE)

Data for a relaxed structure of Sr3Cd4Hg2.

Symmetry: P-1
Total energy (eV/atom): -1.369
Calculated formation energy (eV/f.u.): -3.02
Mass density (Mg/m³): 6.75
Relative energy among the computed polymorphs (meV/atom): 60

Geometry as POSCAR:
```
Sr3Cd4Hg2
1.0
5.0806 0.0000 0.0000
-2.5261 5.8978 0.0000
-0.0387 -2.8811 9.1369
Sr Cd Hg
3 4 2
Direct
0.0000 0.0000 0.0000 Sr
0.3907 0.7800 0.6347 Sr
0.6093 0.2200 0.3653 Sr
0.0934 0.1842 0.6448 Cd
0.2948 0.5907 0.9475 Cd
0.7052 0.4093 0.0525 Cd
0.9066 0.8158 0.3552 Cd
0.2685 0.5392 0.2629 Hg
0.7315 0.4608 0.7371 Hg
```